A plane-wave DFT calculation with GGA-PBE was carried out for an optimized crystal structure of SrOsNO.

extended XYZ file:
```
8
Lattice="3.766 0.000 0.000 0.000 5.524 0.000 0.000 0.000 5.390" Properties=species:S:1:pos:R:3 pbc="T T T"
Sr 0.000 1.064 0.000
Sr 0.000 4.460 2.695
Os 1.883 1.758 2.695
Os 1.883 3.766 0.000
N 0.000 1.818 2.694
N 0.000 3.706 5.389
O 1.883 0.017 4.040
O 1.883 5.507 1.345
```

Output
**Offset from the most stable computed form**: 0.048 eV per atom
**Uncorrected energy**: -58.80 eV per cell

---

A plane-wave DFT calculation with GGA-PBE was carried out for an optimized crystal structure of LaDy2Zn2Si4Ni2.

extended XYZ file:
```
11
Lattice="-2.030 2.039 12.158 2.030 -2.039 12.158 2.030 2.039 -12.158" Properties=species:S:1:pos:R:3 pbc="T T T"
La 0.000 0.000 0.000
Dy 2.030 0.000 8.689
Dy 0.000 2.039 3.469
Zn 0.000 0.000 6.079
Zn 0.000 0.000 18.237
Si 2.030 0.000 4.513
Si 0.000 0.000 10.914
Si 0.000 0.000 13.402
Si 0.000 2.039 7.644
Ni 2.030 0.000 2.286
Ni 0.000 2.039 9.872
```

Output
**Uncorrected energy**: -56.78 eV per cell

---

A plane-wave DFT calculation with GGA-PBE was carried out for an optimized crystal structure of DyYFe2Ge2N.

extended XYZ file:
```
7
Lattice="5.314 -1.939 0.000 5.314 1.939 0.000 -4.129 0.000 5.388" Properties=species:S:1:pos:R:3 pbc="T T T"
Dy 0.000 0.000 0.000
Y 7.640 0.000 2.298
Fe 0.046 0.000 3.401
Fe 3.467 0.000 4.294
Ge 2.940 0.000 0.064
Ge 4.702 0.000 2.239
N 1.755 0.000 3.855
```

Output
**Uncorrected energy**: -50.69 eV per cell

---

A plane-wave DFT calculation with GGA-PBE was carried out for an optimized crystal structure of NdErAl2Pd4.

extended XYZ file:
```
8
Lattice="4.388 0.000 0.000 -2.194 3.800 0.000 0.000 0.000 9.227" Properties=species:S:1:pos:R:3 pbc="T T T"
Nd 0.000 0.000 0.000
Er 0.000 2.533 4.614
Al 2.194 1.267 2.384
Al 2.194 1.267 6.843
Pd 0.000 0.000 3.106
Pd 0.000 0.000 6.121
Pd 0.000 2.533 1.693
Pd 0.000 2.533 7.534
```

Output
**Uncorrected energy**: -44.87 eV per cell

---

A plane-wave DFT calculation with GGA-PBE was carried out for an optimized crystal structure of TlSiAuSe3.

extended XYZ file:
```
12
Lattice="1.804 -7.664 0.000 1.804 7.664 0.000 0.000 0.000 10.478" Properties=species:S:1:pos:R:3 pbc="T T T"
Tl 1.804 4.443 7.859
Tl 1.804 -4.443 2.620
Si 1.804 0.000 0.000
Si 1.804 0.000 5.239
Au 1.804 5.726 2.620
Au 1.804 -5.726 7.859
Se 1.804 5.901 0.170
Se 1.804 5.901 5.069
Se 1.804 0.564 2.620
Se 1.804 -0.564 7.859
Se 1.804 -5.901 5.409
Se 1.804 -5.901 10.308
```

Output
**Uncorrected energy**: -44.85 eV per cell

---

A plane-wave DFT calculation with GGA-PBE was carried out for an optimized crystal structure of Be2ReMo.

extended XYZ file:
```
4
Lattice="0.000 2.926 2.926 2.926 0.000 2.926 2.926 2.926 0.000" Properties=species:S:1:pos:R:3 pbc="T T T"
Be 0.000 0.000 0.000
Be 1.463 1.463 1.463
Re 2.926 2.926 2.926
Mo 4.389 4.389 4.389
```

Output
**Uncorrected energy**: -30.42 eV per cell

---

A plane-wave DFT calculation with GGA-PBE was carried out for an optimized crystal structure of YNiBiPd.

extended XYZ file:
```
4
Lattice="0.000 3.404 3.404 3.404 0.000 3.404 3.404 3.404 0.000" Properties=species:S:1:pos:R:3 pbc="T T T"
Y 0.000 0.000 0.000
Ni 5.106 5.106 5.106
Bi 3.404 3.404 3.404
Pd 1.702 1.702 1.702
```

Output
**Uncorrected energy**: -23.28 eV per cell

---

A plane-wave DFT calculation with GGA-PBE was carried out for an optimized crystal structure of Li3PtO4.

extended XYZ file:
```
32
Lattice="5.018 0.000 0.000 0.000 11.991 0.000 -1.680 0.000 4.848" Properties=species:S:1:pos:R:3 pbc="T T T"
Li 0.000 0.000 0.000
Li -0.840 1.318 2.424
Li 0.000 2.748 0.000
Li -0.840 4.547 2.424
Li 0.000 6.355 0.000
Li -0.840 7.716 2.424
Li 0.000 9.225 0.000
Li -0.840 10.640 2.424
Li 1.669 0.055 2.424
Li 2.509 1.372 0.000
Li 2.509 7.703 0.000
Li 2.509 10.642 0.000
Pt 1.669 2.952 2.424
Pt 2.509 4.559 0.000
Pt 1.669 6.128 2.424
Pt 1.669 9.176 2.424
O -0.019 0.033 3.657
O 0.041 6.027 3.655
O 0.867 10.506 1.268
O 0.862 1.591 1.290
O 0.074 9.079 3.572
O 0.051 3.115 3.645
O 0.875 7.609 1.302
O 0.918 4.578 1.263
O 2.420 4.578 3.585
O 2.463 7.609 3.546
O 3.288 3.115 1.203
O 2.476 1.591 3.558
O 3.264 9.079 1.276
O 3.298 6.027 1.193
O 2.471 10.506 3.580
O 3.358 0.033 1.191
```

Output
**Offset from the most stable computed form**: 0.081 eV per atom
**Uncorrected energy**: -166.94 eV per cell